Entry 1:
A plane-wave DFT calculation with PBE was carried out for crystalline ZnCuP2 at its relaxed geometry.

Geometry as POSCAR:
```
ZnCuP2
1.0
-3.470 -0.918 1.128
0.321 -2.366 -0.939
2.498 -3.145 5.126
Cu P Zn
1 2 1
direct
0.500 0.807 0.756
0.000 0.226 0.915
0.500 0.032 0.315
0.000 0.436 0.513
```

## Properties
DFT formation energy ... 199 meV/atom
Symmetry ... Pm (6)

=====

Entry 2:
A plane-wave DFT calculation with PBE was carried out for crystalline Ca2Al4Ag5 at its relaxed geometry.

Geometry as POSCAR:
```
Ca2Al4Ag5
1.0
5.884 0.000 0.000
2.942 4.861 0.000
2.942 0.000 8.175
Ca Al Ag
2 4 5
direct
0.857 0.000 0.286
0.143 0.000 0.714
0.480 0.302 0.738
0.520 0.698 0.262
0.218 0.302 0.262
0.782 0.698 0.738
0.500 0.000 0.000
0.000 0.500 0.000
0.500 0.500 0.000
0.250 0.500 0.500
0.750 0.500 0.500
```

## Properties
DFT formation energy ... -192 meV/atom
Symmetry ... Fmmm (69)

=====

Entry 3:
A plane-wave DFT calculation with PBE was carried out for crystalline K2TcSe at its relaxed geometry.

Geometry as POSCAR:
```
K2TcSe
1.0
-2.671 -0.355 -2.023
-1.649 -1.609 2.459
-3.715 8.914 3.342
K Se Tc
2 1 1
direct
0.000 0.000 0.920
0.500 0.500 0.336
0.000 0.000 0.576
0.500 0.500 0.668
```

## Properties
Symmetry ... P4mm (99)
Calculated total energy ... -0.2835 Ry/atom

=====

Entry 4:
A plane-wave DFT calculation with PBE was carried out for crystalline Tl3Hg3Se at its relaxed geometry.

Geometry as POSCAR:
```
Tl3Hg3Se
1.0
4.143 0.000 0.000
0.000 9.667 -5.581
0.000 0.000 11.162
Tl Hg Se
6 6 2
direct
0.750 0.637 0.519
0.750 0.883 0.363
0.250 0.519 0.883
0.750 0.481 0.117
0.250 0.117 0.637
0.250 0.363 0.481
0.750 0.958 0.763
0.750 0.805 0.042
0.250 0.763 0.805
0.750 0.237 0.195
0.250 0.195 0.958
0.250 0.042 0.237
0.250 0.667 0.333
0.750 0.333 0.667
```

## Properties
Symmetry ... P6_3/m (176)
Calculated total energy ... -0.1293 Ry/atom

=====

Entry 5:
A plane-wave DFT calculation with PBE was carried out for crystalline In2IrRhCl at its relaxed geometry.

Geometry as POSCAR:
```
In2IrRhCl
1.0
-4.318 0.320 -2.876
-2.573 -0.811 3.773
-0.243 5.108 0.932
Cl Ir Rh In
1 1 1 2
direct
0.000 0.500 0.000
0.000 0.000 0.000
0.500 0.500 0.500
0.000 0.000 0.500
0.500 0.000 0.000
```

## Properties
Symmetry ... P4/mmm (123)
Calculated total energy ... -0.2938 Ry/atom

=====

Entry 6:
A plane-wave DFT calculation with PBE was carried out for crystalline BaCaZr2N at its relaxed geometry.

Geometry as POSCAR:
```
BaCaZr2N
1.0
5.250 0.000 0.000
0.000 5.795 0.000
0.000 0.000 5.250
Ca Ba Zr N
1 1 2 1
direct
0.000 0.500 0.000
0.000 0.000 0.000
0.000 0.000 0.500
0.500 0.000 0.000
0.500 0.500 0.500
```

## Properties
Symmetry ... P4/mmm (123)
Calculated total energy ... -0.2410 Ry/atom

=====

Entry 7:
A plane-wave DFT calculation with PBE was carried out for crystalline ZnB2TeP at its relaxed geometry.

Geometry as POSCAR:
```
ZnB2TeP
1.0
4.437 0.000 0.000
0.000 5.129 0.000
0.000 0.000 4.437
P Zn Te B
1 1 1 2
direct
0.500 0.500 0.500
0.000 0.500 0.000
0.000 0.000 0.000
0.000 0.000 0.500
0.500 0.000 0.000
```

## Properties
Symmetry ... P4/mmm (123)
Calculated total energy ... -0.1997 Ry/atom

=====

Entry 8:
A plane-wave DFT calculation with PBE was carried out for crystalline CaSbP at its relaxed geometry.

Geometry as POSCAR:
```
CaSbP
1.0
5.800 -0.133 0.148
4.596 3.540 0.148
1.204 0.395 3.651
Ca P Sb
1 1 1
direct
0.004 0.004 0.996
0.288 0.288 0.712
0.708 0.708 0.292
```

## Properties
Symmetry ... I4mm (107)
Calculated total energy ... -0.3090 Ry/atom

=====

Entry 9:
A plane-wave DFT calculation with PBE was carried out for crystalline VBH at its relaxed geometry.

Geometry as POSCAR:
```
VBH
1.0
5.326 -0.290 -0.362
-1.236 5.189 -0.362
-1.236 -1.481 4.986
H B V
6 6 6
direct
0.316 0.062 0.918
0.938 0.082 0.684
0.082 0.684 0.938
0.918 0.316 0.062
0.062 0.918 0.316
0.684 0.938 0.082
0.591 0.717 0.356
0.717 0.356 0.591
0.356 0.591 0.717
0.644 0.409 0.283
0.283 0.644 0.409
0.409 0.283 0.644
0.225 0.371 0.981
0.629 0.019 0.775
0.019 0.775 0.629
0.981 0.225 0.371
0.371 0.981 0.225
0.775 0.629 0.019
```

## Properties
Symmetry ... R-3 (148)
Calculated total energy ... -0.4858 Ry/atom

=====

Entry 10:
A plane-wave DFT calculation with PBE was carried out for crystalline ZrUTi2 at its relaxed geometry.

Geometry as POSCAR:
```
ZrUTi2
1.0
-2.172 4.284 0.408
-4.185 0.365 2.364
-0.167 2.220 4.276
U Zr Ti
1 1 2
direct
0.000 0.000 0.000
0.500 0.500 0.500
0.250 0.250 0.250
0.750 0.750 0.750
```

## Properties
DFT formation energy ... 227 meV/atom
Symmetry ... Fm-3m (225)

=====

Entry 11:
A plane-wave DFT calculation with PBE was carried out for crystalline KGd2O at its relaxed geometry.

Geometry as POSCAR:
```
KGd2O
1.0
3.636 0.000 0.000
1.818 3.148 0.000
1.818 1.049 10.152
K Gd O
1 2 1
direct
0.000 0.000 0.000
0.124 0.124 0.628
0.876 0.876 0.372
0.500 0.500 0.500
```

## Properties
Symmetry ... R-3m (166)
Calculated total energy ... -0.7095 Ry/atom

=====

Entry 12:
A plane-wave DFT calculation with PBE was carried out for crystalline Pm8CuRh5 at its relaxed geometry.

Geometry as POSCAR:
```
Pm8CuRh5
1.0
7.664 0.028 -0.049
-2.567 7.222 0.049
-2.531 -3.638 6.253
Pm Cu Rh
8 1 5
direct
0.120 0.752 0.996
0.004 0.124 0.756
0.737 0.248 0.372
0.628 0.365 0.877
0.512 0.635 0.263
0.632 0.876 0.880
0.244 0.248 0.368
0.123 0.752 0.488
0.250 0.500 0.750
0.006 0.377 0.123
0.877 0.883 0.254
0.746 0.623 0.629
0.500 0.000 0.500
0.371 0.117 0.994
```

## Properties
DFT formation energy ... -577 meV/atom
Symmetry ... I-4 (82)

=====

Entry 13:
A plane-wave DFT calculation with PBE was carried out for crystalline CsPOsS2 at its relaxed geometry.

Geometry as POSCAR:
```
CsPOsS2
1.0
-2.273 -4.213 1.493
2.198 0.405 4.489
-3.527 2.437 1.507
Cs P S Os
1 1 2 1
direct
0.500 0.500 0.500
0.000 0.000 0.500
0.000 0.500 0.000
0.500 0.000 0.000
0.000 0.000 0.000
```

## Properties
Symmetry ... P4/mmm (123)
Calculated total energy ... -0.3691 Ry/atom

=====

Entry 14:
A plane-wave DFT calculation with PBE was carried out for crystalline TbSb2Pd at its relaxed geometry.

Geometry as POSCAR:
```
TbSb2Pd
1.0
3.486 0.000 0.000
1.743 3.019 0.000
1.743 1.006 9.990
Sb Tb Pd
2 1 1
direct
0.103 0.103 0.691
0.897 0.897 0.309
0.000 0.000 0.000
0.500 0.500 0.500
```

## Properties
Symmetry ... R-3m (166)
Calculated total energy ... -0.3435 Ry/atom

=====

Entry 15:
A plane-wave DFT calculation with PBE was carried out for crystalline ScInTeN2 at its relaxed geometry.

Geometry as POSCAR:
```
ScInTeN2
1.0
4.214 0.000 0.000
0.000 4.214 0.000
0.000 0.000 6.020
Sc N Te In
1 2 1 1
direct
0.000 0.000 0.000
0.000 0.500 0.000
0.500 0.000 0.000
0.000 0.000 0.500
0.500 0.500 0.500
```

## Properties
Symmetry ... P4/mmm (123)
Calculated total energy ... -0.3880 Ry/atom

=====

Entry 16:
A plane-wave DFT calculation with PBE was carried out for crystalline Tc2BrCl8 at its relaxed geometry.

Geometry as POSCAR:
```
Tc2BrCl8
1.0
7.900 -0.603 1.428
0.726 6.684 2.374
-0.644 -0.072 7.100
Tc Br Cl
2 1 8
direct
0.683 0.083 0.083
0.317 0.917 0.917
0.000 0.000 0.000
0.315 0.663 0.208
0.685 0.792 0.337
0.389 0.129 0.129
0.611 0.871 0.871
0.315 0.208 0.663
0.685 0.337 0.792
0.732 0.270 0.270
0.268 0.730 0.730
```

## Properties
Symmetry ... C2/m (12)
Calculated total energy ... -0.2865 Ry/atom

=====

Entry 17:
A plane-wave DFT calculation with PBE was carried out for crystalline Sm2Er5Tm5 at its relaxed geometry.

Geometry as POSCAR:
```
Sm2Er5Tm5
1.0
4.976 0.000 0.000
-2.488 7.443 -0.482
0.000 -4.314 10.249
Sm Er Tm
2 5 5
direct
0.083 0.166 0.749
0.917 0.834 0.251
0.167 0.334 0.500
0.751 0.503 0.751
0.249 0.497 0.249
0.833 0.666 0.500
0.000 0.000 0.000
0.500 0.000 0.500
0.667 0.333 0.001
0.584 0.168 0.250
0.416 0.832 0.750
0.333 0.667 0.999
```

## Properties
DFT formation energy ... 23 meV/atom
Symmetry ... C2/m (12)

=====

Entry 18:
A plane-wave DFT calculation with PBE was carried out for crystalline Sm3CdHg2 at its relaxed geometry.

Geometry as POSCAR:
```
Sm3CdHg2
1.0
5.373 0.000 0.000
-2.687 4.653 0.000
0.000 0.000 13.156
Sm Cd Hg
6 2 4
direct
0.333 0.667 0.417
0.667 0.333 0.081
0.000 0.000 0.752
0.000 0.000 0.248
0.333 0.667 0.919
0.667 0.333 0.583
0.333 0.667 0.668
0.667 0.333 0.332
0.000 0.000 0.500
0.333 0.667 0.171
0.667 0.333 0.829
0.000 0.000 0.000
```

## Properties
DFT formation energy ... -418 meV/atom
Symmetry ... P-3m1 (164)

=====

Entry 19:
A plane-wave DFT calculation with PBE was carried out for crystalline SnIrNO2 at its relaxed geometry.

Geometry as POSCAR:
```
SnIrNO2
1.0
3.972 0.000 0.000
0.000 3.972 0.000
0.000 0.000 4.224
Ir Sn O N
1 1 2 1
direct
0.500 0.500 0.500
0.000 0.000 0.000
0.000 0.500 0.000
0.500 0.000 0.000
0.000 0.000 0.500
```

## Properties
Symmetry ... P4/mmm (123)
Calculated total energy ... -0.3971 Ry/atom

=====

Entry 20:
A plane-wave DFT calculation with PBE was carried out for crystalline TlSiTc2 at its relaxed geometry.

Geometry as POSCAR:
```
TlSiTc2
1.0
-1.108 1.868 -2.017
1.584 -2.247 -1.108
-6.898 -4.621 -0.491
Si Tc Tl
1 2 1
direct
0.500 0.500 0.750
0.000 0.000 0.962
0.000 0.000 0.538
0.500 0.500 0.250
```

## Properties
Symmetry ... Cmmm (65)
Calculated total energy ... -0.4995 Ry/atom